# DyLuTlRu

An optimized crystal structure of DyLuTlRu (PBE, Alexandria).

Cell and atoms, written as CIF:
```
data_DyLuTlRu
_chemical_formula_sum 'Dy1 Lu1 Tl1 Ru1'
_cell_length_a 5.031
_cell_length_b 5.031
_cell_length_c 5.031
_cell_angle_alpha 60.00
_cell_angle_beta 60.00
_cell_angle_gamma 60.00
_symmetry_space_group_name_H-M 'P 1'
_symmetry_Int_Tables_number 1
loop_
_symmetry_equiv_pos_as_xyz
'x,y,z'
loop_
_atom_site_label
_atom_site_type_symbol
_atom_site_fract_x
_atom_site_fract_y
_atom_site_fract_z
_atom_site_occupancy
Dy1 Dy 0.000 0.000 0.000 1
Lu1 Lu 0.500 0.500 0.500 1
Tl1 Tl 0.750 0.750 0.750 1
Ru1 Ru 0.250 0.250 0.250 1
```

symmetry: F-43m (216)
total magnetization: 0.000 μB/atom

=====

# DyLuZnRu

An optimized crystal structure of DyLuZnRu (PBE, Alexandria).

Cell and atoms, written as CIF:
```
data_DyLuZnRu
_chemical_formula_sum 'Dy1 Lu1 Zn1 Ru1'
_cell_length_a 4.863
_cell_length_b 4.863
_cell_length_c 4.863
_cell_angle_alpha 60.00
_cell_angle_beta 60.00
_cell_angle_gamma 60.00
_symmetry_space_group_name_H-M 'P 1'
_symmetry_Int_Tables_number 1
loop_
_symmetry_equiv_pos_as_xyz
'x,y,z'
loop_
_atom_site_label
_atom_site_type_symbol
_atom_site_fract_x
_atom_site_fract_y
_atom_site_fract_z
_atom_site_occupancy
Dy1 Dy 0.000 0.000 0.000 1
Lu1 Lu 0.500 0.500 0.500 1
Zn1 Zn 0.750 0.750 0.750 1
Ru1 Ru 0.250 0.250 0.250 1
```

symmetry: F-43m (216)
total magnetization: 0.000 μB/atom

=====

E, record by record: -5.46, -5.31 eV/atom
DFT formation energy, record by record: -268, -394 meV per atom